(1)
A plane-wave DFT calculation with SCAN was carried out for SrSc2Ir2 at its PBEsol-relaxed geometry.

The value obtained for the energy above the most stable polymorph in this dataset is 0.403 eV/atom. As for the symmetry: No. 139.

abc: 4.528 4.528 6.488
angles: 110.42 110.42 90.00
Atoms (fractional coordinates):
Sc: 0.356 0.356 0.712
Sc: 0.644 0.644 0.288
Sr: 0.000 0.000 0.000
Ir: 0.250 0.750 0.500
Ir: 0.750 0.250 0.500


(2)
A plane-wave DFT calculation with SCAN was carried out for MgSnRu at its PBEsol-relaxed geometry.

As for the symmetry: No. 107.

abc: 3.332 3.332 5.145
angles: 108.89 108.89 90.00
Atoms (fractional coordinates):
Ru: 0.303 0.303 0.605
Mg: 0.961 0.961 0.921
Sn: 0.649 0.649 0.298


(3)
A plane-wave DFT calculation with SCAN was carried out for CeMg2Si2 at its PBEsol-relaxed geometry.

For the uncorrected formation energy, the calculation gives -443 meV/atom. As for the symmetry: No. 123.

abc: 4.157 4.157 5.789
angles: 90.00 90.00 90.00
Atoms (fractional coordinates):
Si: 0.500 0.500 0.803
Si: 0.500 0.500 0.197
Mg: 0.500 0.000 0.500
Mg: 0.000 0.500 0.500
Ce: 0.000 0.000 0.000


(4)
A plane-wave DFT calculation with SCAN was carried out for Y2PPb at its PBEsol-relaxed geometry.

The value obtained for the energy above the most stable polymorph in this dataset is 0.295 eV/atom. As for the symmetry: No. 8.

abc: 4.088 4.284 5.923
angles: 94.22 110.19 90.00
Atoms (fractional coordinates):
P: 0.483 0.359 0.966
Pb: 0.277 0.887 0.555
Y: 0.004 0.873 0.008
Y: 0.736 0.381 0.472


(5)
A plane-wave DFT calculation with SCAN was carried out for LaCoP2 at its PBEsol-relaxed geometry.

The value obtained for the energy above the most stable polymorph in this dataset is 0.000 eV/atom. As for the symmetry: No. 71.

abc: 3.744 4.809 4.809
angles: 73.89 67.09 67.09
Atoms (fractional coordinates):
Co: 0.000 0.500 0.500
La: 0.500 0.000 0.000
P: 0.328 0.672 0.672
P: 0.672 0.328 0.328


(6)
A plane-wave DFT calculation with SCAN was carried out for ZnCd2Ag at its PBEsol-relaxed geometry.

As for the symmetry: No. 166.

abc: 2.995 2.995 9.360
angles: 80.79 80.79 60.00
Atoms (fractional coordinates):
Zn: 0.500 0.500 0.500
Ag: 0.000 0.000 0.000
Cd: 0.248 0.248 0.255
Cd: 0.752 0.752 0.745


(7)
A plane-wave DFT calculation with SCAN was carried out for NiOsRh2 at its PBEsol-relaxed geometry.

The value obtained for the energy above the most stable polymorph in this dataset is 0.046 eV/atom. As for the symmetry: No. 99.

abc: 2.657 2.657 7.294
angles: 90.00 90.00 90.00
Atoms (fractional coordinates):
Os: 0.500 0.500 0.739
Rh: 0.000 0.000 0.996
Rh: 0.500 0.500 0.262
Ni: 0.000 0.000 0.503


(8)
A plane-wave DFT calculation with SCAN was carried out for LiCdRh at its PBEsol-relaxed geometry.

As for the symmetry: No. 156.

abc: 2.765 4.337 4.337
angles: 120.00 90.00 90.00
Atoms (fractional coordinates):
Cd: 0.964 0.000 0.000
Li: 0.625 0.333 0.667
Rh: 0.411 0.667 0.333


(9)
A plane-wave DFT calculation with SCAN was carried out for InGeSb2I at its PBEsol-relaxed geometry.

For the uncorrected formation energy, the calculation gives 890 meV/atom. As for the symmetry: No. 123.

abc: 5.530 5.530 5.638
angles: 90.00 90.00 90.00
Atoms (fractional coordinates):
I: 0.000 0.000 0.500
Sb: 0.000 0.500 0.000
Sb: 0.500 0.000 0.000
Ge: 0.500 0.500 0.500
In: 0.000 0.000 0.000


(10)
A plane-wave DFT calculation with SCAN was carried out for Ca2PtBr at its PBEsol-relaxed geometry.

The value obtained for the energy above the most stable polymorph in this dataset is 0.000 eV/atom. For the uncorrected formation energy, the calculation gives -1378 meV/atom. As for the symmetry: No. 166.

abc: 4.061 4.061 7.734
angles: 74.78 74.78 60.00
Atoms (fractional coordinates):
Ca: 0.737 0.737 0.789
Ca: 0.263 0.263 0.211
Pt: 0.000 0.000 0.000
Br: 0.500 0.500 0.500


(11)
A plane-wave DFT calculation with SCAN was carried out for Be2AsPt at its PBEsol-relaxed geometry.

As for the symmetry: No. 166.

abc: 2.851 2.851 7.378
angles: 78.86 78.86 60.00
Atoms (fractional coordinates):
Be: 0.246 0.246 0.262
Be: 0.754 0.754 0.738
As: 0.000 0.000 0.000
Pt: 0.500 0.500 0.500


(12)
A plane-wave DFT calculation with SCAN was carried out for ZrSiAu2 at its PBEsol-relaxed geometry.

For the uncorrected formation energy, the calculation gives -538 meV/atom. As for the symmetry: No. 38.

abc: 3.065 3.990 5.800
angles: 90.00 105.32 90.00
Atoms (fractional coordinates):
Si: 0.176 0.000 0.352
Au: 0.933 0.000 0.866
Au: 0.309 0.500 0.617
Zr: 0.572 0.500 0.144


no.,uncorrected energy (eV for the cell shown)
1,-195.1
2,-76.5
3,-76.8
4,-145.9
5,-84.4
6,-105.5
7,-155.2
8,-67.1
9,-159.3
10,-114.5
11,-99.6
12,-181.2